Version a
This record from Alexandria describes a PBEsol-optimized structure of LaTcAu. The functional is SCAN.

Cell: 4.4707 4.4707 3.8624 Å, 90.00 90.00 120.00°
Space group P-6m2 (No. 187)
Symmetry-distinct sites (fractional):
La (0.0000, 0.0000, 0.0000) x1
Tc (0.6667, 0.3333, 0.5000) x1
Au (0.3333, 0.6667, 0.5000) x1

=====

Version b
This record from Alexandria describes a PBEsol-optimized structure of LaTcAu. The functional is SCAN.

Cell: 3.642 3.642 9.611 Å, 90.00 90.00 90.00°
Space group I4mm (No. 107)
Symmetry-distinct sites (fractional):
La (0.000, 0.000, 0.000) x2
Tc (0.000, 0.000, 0.282) x2
Au (0.000, 0.000, 0.695) x2

=====

version a (171 meV per atom below the next structure)

=====

Version a
This record from Alexandria describes a PBEsol-optimized structure of LaW2Au. The functional is SCAN.

Cell: 3.381 4.925 9.503 Å, 90.00 90.00 90.00°
Space group Imm2 (No. 44)
Symmetry-distinct sites (fractional):
La (0.000, 0.000, 0.000) x2
W (0.000, 0.000, 0.461) x2
W (0.000, 0.500, 0.768) x2
Au (0.000, 0.500, 0.221) x2

=====

Version b
This record from Alexandria describes a PBEsol-optimized structure of LaW2Au. The functional is SCAN.

Cell: 8.774 2.781 6.649 Å, 90.00 94.00 90.00°
Space group Cm (No. 8)
Symmetry-distinct sites (fractional):
La (0.000, 0.000, 0.000) x2
W (0.241, 0.000, 0.707) x2
W (0.485, 0.000, 0.529) x2
Au (0.249, 0.500, 0.314) x2

=====

version b (8 meV per atom below the next structure)

=====

Version a
This record from Alexandria describes a PBEsol-optimized structure of La2YAu. The functional is SCAN.

Cell: 3.7605 3.7605 30.1068 Å, 90.00 90.00 120.00°
Space group R-3m (No. 166, hexagonal axes)
Symmetry-distinct sites (fractional):
La (0.0000, 0.0000, 0.2380) x6
Y (0.0000, 0.0000, 0.0000) x3
Au (0.0000, 0.0000, 0.5000) x3

=====

Version b
This record from Alexandria describes a PBEsol-optimized structure of La2YAu. The functional is SCAN.

Cell: 12.472 3.727 5.513 Å, 90.00 115.87 90.00°
Space group Cm (No. 8)
Symmetry-distinct sites (fractional):
La (0.000, 0.000, 0.000) x2
La (0.215, 0.000, 0.722) x2
Y (0.427, 0.000, 0.427) x2
Au (0.226, 0.500, 0.242) x2

=====

version b (141 meV per atom below the next structure)

=====

Version a
This record from Alexandria describes a PBEsol-optimized structure of La2YAu. The functional is SCAN.

Cell: 3.642 3.642 8.556 Å, 90.00 90.00 90.00°
Space group P4mm (No. 99)
Symmetry-distinct sites (fractional):
La (0.000, 0.000, 0.000) x1
La (0.500, 0.500, 0.295) x1
Y (0.000, 0.000, 0.589) x1
Au (0.500, 0.500, 0.769) x1

=====

Version b
This record from Alexandria describes a PBEsol-optimized structure of La2YAu. The functional is SCAN.

Cell: 4.575 4.575 10.153 Å, 90.00 90.00 90.00°
Space group I4/mmm (No. 139)
Symmetry-distinct sites (fractional):
La (0.000, 0.500, 0.250) x4
Y (0.000, 0.000, 0.000) x2
Au (0.000, 0.000, 0.500) x2

=====

version a (152 meV per atom below the next structure)

=====

Version a
This record from Alexandria describes a PBEsol-optimized structure of LaY2Au. The functional is SCAN.

Cell: 4.557 4.557 9.940 Å, 90.00 90.00 90.00°
Space group I-4m2 (No. 119)
Symmetry-distinct sites (fractional):
La (0.000, 0.000, 0.000) x2
Y (0.000, 0.000, 0.500) x2
Y (0.000, 0.500, 0.250) x2
Au (0.000, 0.500, 0.750) x2

=====

Version b
This record from Alexandria describes a PBEsol-optimized structure of LaY2Au. The functional is SCAN.

Cell: 3.592 3.592 8.458 Å, 90.00 90.00 90.00°
Space group P4/mmm (No. 123)
Symmetry-distinct sites (fractional):
La (0.000, 0.000, 0.000) x1
Y (0.500, 0.500, 0.300) x2
Au (0.000, 0.000, 0.500) x1

=====

version b (205 meV per atom below the next structure)

=====

Version a
This record from Alexandria describes a PBEsol-optimized structure of Li5Au. The functional is SCAN.

Cell: 3.238 3.238 9.928 Å, 90.00 90.00 90.00°
Space group P4/mmm (No. 123)
Symmetry-distinct sites (fractional):
Li (0.000, 0.000, 0.000) x1
Li (0.000, 0.000, 0.367) x2
Li (0.500, 0.500, 0.197) x2
Au (0.500, 0.500, 0.500) x1

=====

Version b
This record from Alexandria describes a PBEsol-optimized structure of Li5Au. The functional is SCAN.

Cell: 8.746 4.097 5.654 Å, 90.00 106.86 90.00°
Space group C2/m (No. 12)
Symmetry-distinct sites (fractional):
Li (0.000, 0.000, 0.000) x2
Li (0.150, 0.500, 0.802) x4
Li (0.172, 0.500, 0.345) x4
Au (0.000, 0.000, 0.500) x2

=====

version b (66 meV per atom below the next structure)

=====

Version a
This record from Alexandria describes a PBEsol-optimized structure of Li3Au2. The functional is SCAN.

Cell: 4.889 5.209 7.259 Å, 110.72 90.15 117.49°
Space group P-1 (No. 2)
Symmetry-distinct sites (fractional):
Li (0.057, 0.284, 0.041) x2
Li (0.274, 0.718, 0.460) x2
Li (0.354, 0.501, 0.749) x2
Au (0.131, 0.112, 0.352) x2
Au (0.481, 0.115, 0.853) x2

=====

Version b
This record from Alexandria describes a PBEsol-optimized structure of Li3Au2. The functional is SCAN.

Cell: 4.3787 4.3787 5.2531 Å, 90.00 90.00 120.00°
Space group P-3m1 (No. 164)
Symmetry-distinct sites (fractional):
Li (0.0000, 0.0000, 0.0000) x1
Li (0.3333, 0.6667, 0.3633) x2
Au (0.3333, 0.6667, 0.8643) x2

=====

version a (55 meV per atom below the next structure)

=====

Version a
This record from Alexandria describes a PBEsol-optimized structure of LiMgAu. The functional is SCAN.

Cell: 3.359 3.359 8.759 Å, 90.00 90.00 90.00°
Space group I4mm (No. 107)
Symmetry-distinct sites (fractional):
Li (0.000, 0.000, 0.000) x2
Mg (0.000, 0.000, 0.315) x2
Au (0.000, 0.000, 0.646) x2

=====

Version b
This record from Alexandria describes a PBEsol-optimized structure of LiMgAu. The functional is SCAN.

Cell: 4.5022 4.5022 5.6439 Å, 90.00 90.00 120.00°
Space group P3m1 (No. 156)
Symmetry-distinct sites (fractional):
Li (0.0000, 0.0000, 0.0000) x1
Li (0.3333, 0.6667, 0.1668) x1
Mg (0.0000, 0.0000, 0.4863) x1
Mg (0.6667, 0.3333, 0.8144) x1
Au (0.3333, 0.6667, 0.6695) x1
Au (0.6667, 0.3333, 0.3014) x1

=====

version b (52 meV per atom below the next structure)

=====

Version a
This record from Alexandria describes a PBEsol-optimized structure of LiMn2Au. The functional is SCAN.

Cell: 6.182 6.182 6.182 Å, 90.00 90.00 90.00°
Space group Fm-3m (No. 225)
Symmetry-distinct sites (fractional):
Li (0.000, 0.000, 0.000) x4
Mn (0.250, 0.250, 0.250) x8
Au (0.000, 0.000, 0.500) x4

=====

Version b
This record from Alexandria describes a PBEsol-optimized structure of LiMn2Au. The functional is SCAN.

Cell: 2.7865 2.7865 27.2790 Å, 90.00 90.00 120.00°
Space group R-3m (No. 166, hexagonal axes)
Symmetry-distinct sites (fractional):
Li (0.0000, 0.0000, 0.0000) x3
Mn (0.0000, 0.0000, 0.2497) x6
Au (0.0000, 0.0000, 0.5000) x3

=====

version a (341 meV per atom below the next structure)

=====

Version a
This record from Alexandria describes a PBEsol-optimized structure of LiMo3Au. The functional is SCAN.

Cell: 4.166 4.166 4.166 Å, 90.00 90.00 90.00°
Space group Pm-3m (No. 221)
Symmetry-distinct sites (fractional):
Li (0.000, 0.000, 0.000) x1
Mo (0.000, 0.000, 0.500) x3
Au (0.500, 0.500, 0.500) x1

=====

Version b
This record from Alexandria describes a PBEsol-optimized structure of LiMo3Au. The functional is SCAN.

Cell: 4.829 4.829 4.829 Å, 90.00 90.00 90.00°
Space group Pm-3m (No. 221)
Symmetry-distinct sites (fractional):
Li (0.000, 0.000, 0.000) x1
Mo (0.000, 0.500, 0.500) x3
Au (0.500, 0.500, 0.500) x1

=====

version a (1082 meV per atom below the next structure)

=====

Version a
This record from Alexandria describes a PBEsol-optimized structure of LiMo2Au. The functional is SCAN.

Cell: 2.617 4.637 5.066 Å, 90.00 104.01 90.00°
Space group P2/m (No. 10)
Symmetry-distinct sites (fractional):
Li (0.000, 0.000, 0.000) x1
Mo (0.489, 0.500, 0.239) x2
Au (0.000, 0.000, 0.500) x1

=====

Version b
This record from Alexandria describes a PBEsol-optimized structure of LiMo2Au. The functional is SCAN.

Cell: 3.271 4.563 8.193 Å, 90.00 90.00 90.00°
Space group Imm2 (No. 44)
Symmetry-distinct sites (fractional):
Li (0.000, 0.000, 0.000) x2
Mo (0.000, 0.000, 0.482) x2
Mo (0.000, 0.500, 0.767) x2
Au (0.000, 0.500, 0.259) x2

=====

version a (26 meV per atom below the next structure)

=====

Version a
This record from Alexandria describes a PBEsol-optimized structure of LiMo2Au. The functional is SCAN.

Cell: 3.323 3.900 8.968 Å, 90.00 90.00 90.00°
Space group Immm (No. 71)
Symmetry-distinct sites (fractional):
Li (0.000, 0.000, 0.000) x2
Mo (0.000, 0.500, 0.253) x4
Au (0.000, 0.000, 0.500) x2

=====

Version b
This record from Alexandria describes a PBEsol-optimized structure of LiMo2Au. The functional is SCAN.

Cell: 3.426 3.426 5.103 Å, 90.00 90.00 90.00°
Space group P4/mmm (No. 123)
Symmetry-distinct sites (fractional):
Li (0.000, 0.000, 0.000) x1
Mo (0.500, 0.500, 0.217) x2
Au (0.000, 0.000, 0.500) x1

=====

version a (265 meV per atom below the next structure)